The following is a DFT calculation (PBE) of an optimized crystal structure of MnTlBSe4.

abc: 6.221 6.574 8.258
angles: 90.00 94.67 90.00
Sites, in units of the cell vectors:
Mn (0.172, 0.250, 0.446)
Mn (0.828, 0.750, 0.554)
Tl (0.245, 0.750, 0.078)
Tl (0.755, 0.250, 0.922)
B (0.337, 0.750, 0.657)
B (0.663, 0.250, 0.343)
Se (0.118, 0.513, 0.683)
Se (0.118, 0.987, 0.683)
Se (0.386, 0.250, 0.191)
Se (0.457, 0.750, 0.436)
Se (0.543, 0.250, 0.564)
Se (0.614, 0.750, 0.809)
Se (0.882, 0.013, 0.317)
Se (0.882, 0.487, 0.317)

E_tot in eV per cell: -67.44
Total moment in μB per formula unit: 3.2
DOS at the Fermi energy in states/eV per cell: 4.5
Space-group type: P2_1/m
Formation energy without anion corrections in meV per atom: -224